# InNiBr2 PBE relaxed
# Uncorrected energy: -2.7500 eV per atom
# Uncorrected formation energy: 0.216 eV/atom
# Total magnetization: 1.00 μB/f.u.
data_InNiBr2
_cell_length_a 7.3353
_cell_length_b 7.3353
_cell_length_c 7.3353
_cell_angle_alpha 90.00
_cell_angle_beta 90.00
_cell_angle_gamma 90.00
_symmetry_space_group_name_H-M 'F m -3 m'
_symmetry_Int_Tables_number 225
_symmetry_space_group_name_Hall '-F 4 2 3'
loop_
_atom_site_label
_atom_site_type_symbol
_atom_site_fract_x
_atom_site_fract_y
_atom_site_fract_z
In1 In 0.0000 0.0000 0.0000
Ni1 Ni 0.0000 0.0000 0.5000
Br1 Br 0.2500 0.2500 0.2500